# 1
Computed, not measured: an optimized crystal structure of Li2Mg5In4 at the PBE-GGA level of DFT.

a = 7.679 Å, b = 3.260 Å, c = 9.840 Å
α = 90.00°, β = 95.42°, γ = 90.00°
Space group P2/m (No. 10)
Symmetry-distinct sites (fractional):
Li 0.070 0.000 0.132 x2
Mg 0.166 0.000 0.648 x2
Mg 0.452 0.000 0.185 x2
Mg 0.500 0.000 0.500 x1
In 0.191 0.500 0.373 x2
In 0.258 0.500 0.937 x2

Values from the calculation:
V in Å³/atom: 22.290
Formation energy from the elements in kJ per mole of atoms: -9.3

---

# 2
Computed, not measured: an optimized crystal structure of Be2AgBr at the PBE-GGA level of DFT.

a = 6.591 Å, b = 6.591 Å, c = 6.591 Å
α = 90.00°, β = 90.00°, γ = 90.00°
Space group F-43m (No. 216)
Symmetry-distinct sites (fractional):
Be 0.000 0.000 0.000 x4
Be 0.250 0.250 0.250 x4
Ag 0.000 0.000 0.500 x4
Br 0.250 0.250 0.750 x4

Values from the calculation:
V in Å³/atom: 17.892
Formation energy from raw total energies in eV per atom: 1.119

---

# 3
Computed, not measured: an optimized crystal structure of RePt2Br at the PBE-GGA level of DFT.

a = 5.011 Å, b = 5.011 Å, c = 2.731 Å
α = 90.00°, β = 90.00°, γ = 90.00°
Space group P4/mmm (No. 123)
Symmetry-distinct sites (fractional):
Re 0.000 0.000 0.000 x1
Pt 0.000 0.500 0.500 x2
Br 0.500 0.500 0.000 x1

Values from the calculation:
V in Å³/atom: 17.140
Formation energy from raw total energies in eV per atom: 0.896

---

# 4
Computed, not measured: an optimized crystal structure of ZrBH at the PBE-GGA level of DFT.

a = 5.601 Å, b = 3.232 Å, c = 6.733 Å
α = 90.00°, β = 105.96°, γ = 90.00°
Space group C2/m (No. 12)
Symmetry-distinct sites (fractional):
Zr 0.088 0.000 0.266 x4
B 0.165 0.500 0.995 x4
H 0.196 0.000 0.588 x4

Values from the calculation:
Uncorrected energy in eV/atom: -6.966
V in Å³/atom: 9.764

---

# 5
Computed, not measured: an optimized crystal structure of Ti5Fe2NiPt2 at the PBE-GGA level of DFT.

a = 10.088 Å, b = 10.088 Å, c = 2.901 Å
α = 90.00°, β = 90.00°, γ = 90.00°
Space group P4/mbm (No. 127)
Symmetry-distinct sites (fractional):
Ti 0.000 0.500 0.000 x2
Ti 0.087 0.193 0.000 x8
Fe 0.133 0.367 0.500 x4
Ni 0.000 0.000 0.500 x2
Pt 0.168 0.668 0.500 x4

Values from the calculation:
V in Å³/atom: 14.762
Formation energy from the elements in kJ per mole of atoms: -36.2

---

# 6
Computed, not measured: an optimized crystal structure of Er3PtPb at the PBE-GGA level of DFT.

a = 4.581 Å, b = 6.794 Å, c = 8.836 Å
α = 90.00°, β = 90.00°, γ = 90.00°
Space group Pmmn (No. 59, origin choice 2)
Symmetry-distinct sites (fractional):
Er 0.250 0.000 0.159 x4
Er 0.250 0.250 0.580 x2
Pt 0.250 0.250 0.901 x2
Pb 0.250 0.750 0.647 x2

Values from the calculation:
V in Å³/atom: 27.504
Formation energy from the elements in kJ per mole of atoms: -72.4

---

# 7
Computed, not measured: an optimized crystal structure of PaReH4 at the PBE-GGA level of DFT.

a = 4.202 Å, b = 4.403 Å, c = 6.280 Å
α = 90.00°, β = 103.76°, γ = 90.00°
Space group P2_1/m (No. 11)
Symmetry-distinct sites (fractional):
Pa 0.173 0.250 0.280 x2
Re 0.353 0.250 0.782 x2
H 0.044 0.750 0.142 x2
H 0.275 0.539 0.588 x4
H 0.500 0.000 0.000 x2

Values from the calculation:
Uncorrected energy in eV/atom: -6.051
V in Å³/atom: 9.404

---

# 8
Computed, not measured: an optimized crystal structure of Cs4PrPa3O12 at the PBE-GGA level of DFT.

a = 9.040 Å, b = 9.040 Å, c = 9.040 Å
α = 90.00°, β = 90.00°, γ = 90.00°
Space group Im-3m (No. 229)
Symmetry-distinct sites (fractional):
Cs 0.250 0.250 0.250 x8
Pr 0.000 0.000 0.000 x2
Pa 0.000 0.000 0.500 x6
O 0.000 0.000 0.269 x12
O 0.000 0.250 0.500 x12

Values from the calculation:
V in Å³/atom: 18.471
Formation energy from raw total energies in eV per atom: -2.772

---

# 9
Computed, not measured: an optimized crystal structure of KScC at the PBE-GGA level of DFT.

a = 6.577 Å, b = 3.287 Å, c = 6.999 Å
α = 90.00°, β = 117.82°, γ = 90.00°
Space group P2 (No. 3)
Symmetry-distinct sites (fractional):
K 0.000 0.000 0.000 x1
K 0.500 0.230 0.000 x1
Sc 0.000 0.617 0.500 x1
Sc 0.500 0.617 0.500 x1
C 0.250 0.117 0.500 x2

Values from the calculation:
V in Å³/atom: 22.303
Formation energy from the elements in kJ per mole of atoms: 35.3

---

# 10
Computed, not measured: an optimized crystal structure of Tb4PmPr4 at the PBE-GGA level of DFT.

a = 11.484 Å, b = 5.154 Å, c = 10.932 Å
α = 90.00°, β = 108.38°, γ = 90.00°
Space group C2/m (No. 12)
Symmetry-distinct sites (fractional):
Tb 0.166 0.000 0.054 x4
Tb 0.169 0.000 0.726 x4
Pm 0.000 0.500 0.500 x2
Pr 0.002 0.500 0.834 x4
Pr 0.166 0.000 0.388 x4

Values from the calculation:
V in Å³/atom: 34.116
Formation energy from the elements in kJ per mole of atoms: 1.6